! Na2Sc2CrO6 | Alexandria via LeMat-Bulk | PBE+U | optimized geometry; values from VASP
&SYSTEM
  ibrav = 0, nat = 11, ntyp = 4
/
ATOMIC_SPECIES
Na 22.99 Na.upf
Sc 44.96 Sc.upf
Cr 52.00 Cr.upf
O 16.00 O.upf
CELL_PARAMETERS angstrom
-1.462 3.613 -3.630
1.951 -4.673 -1.649
-5.300 -1.785 1.666
ATOMIC_POSITIONS angstrom
Na -0.910 2.272 -3.309
Na 1.399 -3.332 -1.970
Sc -1.847 -2.778 -1.483
Sc -2.964 -0.067 -2.131
Cr -2.650 -0.892 0.833
O -3.304 -2.030 -2.800
O -3.010 -2.761 0.335
O -1.507 -0.815 -0.814
O -4.085 -0.151 -0.289
O -1.800 -0.084 -3.948
O -0.726 -2.694 -3.325
! - density (g/cm3) = 3.4
! - E (eV per atom) = -7.264
! - V (Å³/f.u.) = 138.05